No. 1
# BaCdTeO (GGA-PBE, relaxed)
# volume: 118 Å³/f.u.
# E: -16.51 eV/f.u.
# crystal system: orthorhombic
data_BaCdTeO
_space_group_name_H-M_alt 'P 1'
_space_group_IT_number 1
_space_group_name_Hall 'P 1'
_cell_length_a 6.922
_cell_length_b 10.127
_cell_length_c 6.719
_cell_angle_alpha 90.00
_cell_angle_beta 90.00
_cell_angle_gamma 90.00
loop_
_atom_site_label
_atom_site_type_symbol
_atom_site_fract_x
_atom_site_fract_y
_atom_site_fract_z
Ba1 Ba 0.002 0.197 0.000
Ba2 Ba 0.498 0.197 0.500
Ba3 Ba 0.502 0.803 0.000
Ba4 Ba 0.998 0.803 0.500
Cd1 Cd 0.099 0.431 0.422
Cd2 Cd 0.401 0.431 0.922
Cd3 Cd 0.599 0.569 0.422
Cd4 Cd 0.901 0.569 0.922
Te1 Te 0.004 0.840 0.998
Te2 Te 0.496 0.840 0.498
Te3 Te 0.504 0.160 0.998
Te4 Te 0.996 0.160 0.498
O1 O 0.106 0.436 0.076
O2 O 0.394 0.436 0.576
O3 O 0.606 0.564 0.076
O4 O 0.894 0.564 0.576


No. 2
# Gd2Fe (GGA-PBE, relaxed)
# volume: 75 Å³/f.u.
# magnetic moment: 0.0 μB per cell
# ΔE_f: 1.39 eV/atom
# E: -13.46 eV/f.u.
# crystal system: cubic
data_Gd2Fe
_space_group_name_H-M_alt 'P 1'
_space_group_IT_number 1
_space_group_name_Hall 'P 1'
_cell_length_a 5.956
_cell_length_b 5.956
_cell_length_c 5.956
_cell_angle_alpha 60.00
_cell_angle_beta 60.00
_cell_angle_gamma 60.00
loop_
_atom_site_label
_atom_site_type_symbol
_atom_site_fract_x
_atom_site_fract_y
_atom_site_fract_z
Gd1 Gd 0.000 0.000 0.000
Gd2 Gd 0.000 0.000 0.500
Gd3 Gd 0.000 0.500 0.000
Gd4 Gd 0.500 0.000 0.000
Fe1 Fe 0.375 0.375 0.375
Fe2 Fe 0.625 0.625 0.625


No. 3
# Tb2GdNiSn3Pt2 (GGA-PBE, relaxed)
# volume: 194 Å³/f.u.
# magnetic moment: 0.0 μB per cell
# E: -52.45 eV/f.u.
# crystal system: orthorhombic
data_Tb2GdNiSn3Pt2
_space_group_name_H-M_alt 'P 1'
_space_group_IT_number 1
_space_group_name_Hall 'P 1'
_cell_length_a 3.939
_cell_length_b 7.535
_cell_length_c 7.535
_cell_angle_alpha 120.04
_cell_angle_beta 90.00
_cell_angle_gamma 90.00
loop_
_atom_site_label
_atom_site_type_symbol
_atom_site_fract_x
_atom_site_fract_y
_atom_site_fract_z
Tb1 Tb 0.000 0.203 0.797
Tb2 Tb 0.000 0.797 0.203
Gd1 Gd 0.000 0.391 0.391
Ni1 Ni 0.000 0.798 0.798
Sn1 Sn 0.500 0.045 0.045
Sn2 Sn 0.500 0.550 0.797
Sn3 Sn 0.500 0.797 0.550
Pt1 Pt 0.500 0.129 0.464
Pt2 Pt 0.500 0.464 0.129


No. 4
# Tm3Mg3HgPt2 (GGA-PBE, relaxed)
# volume: 195 Å³/f.u.
# magnetic moment: 0.0 μB per cell
# E: -37.26 eV/f.u.
# crystal system: hexagonal
data_Tm3Mg3HgPt2
_space_group_name_H-M_alt 'P 1'
_space_group_IT_number 1
_space_group_name_Hall 'P 1'
_cell_length_a 7.442
_cell_length_b 7.442
_cell_length_c 4.060
_cell_angle_alpha 90.00
_cell_angle_beta 90.00
_cell_angle_gamma 120.00
loop_
_atom_site_label
_atom_site_type_symbol
_atom_site_fract_x
_atom_site_fract_y
_atom_site_fract_z
Tm1 Tm 0.000 0.581 0.000
Tm2 Tm 0.419 0.419 0.000
Tm3 Tm 0.581 0.000 0.000
Mg1 Mg 0.000 0.259 0.500
Mg2 Mg 0.259 0.000 0.500
Mg3 Mg 0.741 0.741 0.500
Hg1 Hg 0.000 0.000 0.000
Pt1 Pt 0.333 0.667 0.500
Pt2 Pt 0.667 0.333 0.500


No. 5
# Cs2AgSbCl6 (GGA-PBE, relaxed)
# volume: 313 Å³/f.u.
# E: -32.69 eV/f.u.
# crystal system: cubic
data_Cs2AgSbCl6
_space_group_name_H-M_alt 'P 1'
_space_group_IT_number 1
_space_group_name_Hall 'P 1'
_cell_length_a 7.622
_cell_length_b 7.622
_cell_length_c 7.622
_cell_angle_alpha 60.00
_cell_angle_beta 60.00
_cell_angle_gamma 60.00
loop_
_atom_site_label
_atom_site_type_symbol
_atom_site_fract_x
_atom_site_fract_y
_atom_site_fract_z
Cs1 Cs 0.250 0.250 0.250
Cs2 Cs 0.750 0.750 0.750
Ag1 Ag 0.000 0.000 0.000
Sb1 Sb 0.500 0.500 0.500
Cl1 Cl 0.253 0.253 0.747
Cl2 Cl 0.253 0.747 0.253
Cl3 Cl 0.253 0.747 0.747
Cl4 Cl 0.747 0.253 0.253
Cl5 Cl 0.747 0.253 0.747
Cl6 Cl 0.747 0.747 0.253


No. 6
# PrHo2S3 (GGA-PBE, relaxed)
# volume: 131 Å³/f.u.
# magnetic moment: 0.0 μB per cell
# E: -38.28 eV/f.u.
# crystal system: trigonal
data_PrHo2S3
_space_group_name_H-M_alt 'P 1'
_space_group_IT_number 1
_space_group_name_Hall 'P 1'
_cell_length_a 3.930
_cell_length_b 3.930
_cell_length_c 9.807
_cell_angle_alpha 90.00
_cell_angle_beta 90.00
_cell_angle_gamma 120.00
loop_
_atom_site_label
_atom_site_type_symbol
_atom_site_fract_x
_atom_site_fract_y
_atom_site_fract_z
Pr1 Pr 0.000 0.000 0.000
Ho1 Ho 0.333 0.667 0.662
Ho2 Ho 0.667 0.333 0.338
S1 S 0.000 0.000 0.500
S2 S 0.333 0.667 0.184
S3 S 0.667 0.333 0.816


No. 7
# PrMg3 (GGA-PBE, relaxed)
# volume: 103 Å³/f.u.
# magnetic moment: 0.0 μB per cell
# E: -9.92 eV/f.u.
# crystal system: tetragonal
data_PrMg3
_space_group_name_H-M_alt 'P 1'
_space_group_IT_number 1
_space_group_name_Hall 'P 1'
_cell_length_a 5.266
_cell_length_b 5.266
_cell_length_c 5.266
_cell_angle_alpha 120.10
_cell_angle_beta 120.10
_cell_angle_gamma 89.84
loop_
_atom_site_label
_atom_site_type_symbol
_atom_site_fract_x
_atom_site_fract_y
_atom_site_fract_z
Pr1 Pr 0.000 0.000 0.000
Mg1 Mg 0.250 0.750 0.500
Mg2 Mg 0.500 0.500 0.000
Mg3 Mg 0.750 0.250 0.500


No. 8
# SnPd2Pb (GGA-PBE, relaxed)
# volume: 82 Å³/f.u.
# polymorph energy (0 for the lowest one): 0.0 meV/atom
# E: -19.64 eV/f.u.
# crystal system: orthorhombic
data_SnPd2Pb
_space_group_name_H-M_alt 'P 1'
_space_group_IT_number 1
_space_group_name_Hall 'P 1'
_cell_length_a 4.008
_cell_length_b 6.368
_cell_length_c 6.419
_cell_angle_alpha 90.00
_cell_angle_beta 90.00
_cell_angle_gamma 90.00
loop_
_atom_site_label
_atom_site_type_symbol
_atom_site_fract_x
_atom_site_fract_y
_atom_site_fract_z
Sn1 Sn 0.000 0.065 0.000
Sn2 Sn 0.500 0.935 0.500
Pd1 Pd 0.000 0.220 0.587
Pd2 Pd 0.000 0.755 0.720
Pd3 Pd 0.500 0.245 0.220
Pd4 Pd 0.500 0.780 0.087
Pb1 Pb 0.000 0.555 0.305
Pb2 Pb 0.500 0.445 0.805


- Which of these has the highest E?
  PrMg3


- Number 2 is which compound?
  Gd2Fe


What did the first record say?
# BaCdTeO (GGA-PBE, relaxed)
# volume: 118 Å³/f.u.
# E: -16.51 eV/f.u.
# crystal system: orthorhombic
data_BaCdTeO
_space_group_name_H-M_alt 'P 1'
_space_group_IT_number 1
_space_group_name_Hall 'P 1'
_cell_length_a 6.922
_cell_length_b 10.127
_cell_length_c 6.719
_cell_angle_alpha 90.00
_cell_angle_beta 90.00
_cell_angle_gamma 90.00
loop_
_atom_site_label
_atom_site_type_symbol
_atom_site_fract_x
_atom_site_fract_y
_atom_site_fract_z
Ba1 Ba 0.002 0.197 0.000
Ba2 Ba 0.498 0.197 0.500
Ba3 Ba 0.502 0.803 0.000
Ba4 Ba 0.998 0.803 0.500
Cd1 Cd 0.099 0.431 0.422
Cd2 Cd 0.401 0.431 0.922
Cd3 Cd 0.599 0.569 0.422
Cd4 Cd 0.901 0.569 0.922
Te1 Te 0.004 0.840 0.998
Te2 Te 0.496 0.840 0.498
Te3 Te 0.504 0.160 0.998
Te4 Te 0.996 0.160 0.498
O1 O 0.106 0.436 0.076
O2 O 0.394 0.436 0.576
O3 O 0.606 0.564 0.076
O4 O 0.894 0.564 0.576